{
  "formula": "K4ZrTl",
  "functional": "PBE",
  "state": "optimized geometry",
  "lattice": [[-6.632, -2.793, -0.042], [-4.253, 0.741, 5.758], [-5.732, 4.342, -0.295]],
  "species": ["K", "K", "K", "K", "Zr", "Tl"],
  "fractional_positions": [[0.874, 0.375, 0.375], [0.375, 0.375, 0.874], [0.375, 0.874, 0.375], [0.375, 0.375, 0.375], [0.000, 0.000, 0.000], [0.750, 0.750, 0.750]],
  "vol_a3_per_atom": 43.93,
  "formation_energy_ev_per_atom": 0.80,
  "mass_density_g_cm3": 2.8,
  "sg": "F-43m, No. 216"
}